No. 1
Entry from the Alexandria database: a relaxed MnNiMo2 crystal (PBE-GGA). Values from VASP.

Geometry as Quantum ESPRESSO input:
```
&SYSTEM
  ibrav = 0, nat = 4, ntyp = 3
/
ATOMIC_SPECIES
Mn 54.94 Mn.upf
Ni 58.69 Ni.upf
Mo 95.94 Mo.upf
CELL_PARAMETERS angstrom
1.731 -1.978 0.000
1.731 1.978 0.000
0.000 0.000 7.987
ATOMIC_POSITIONS crystal
Mn 0.000 0.000 0.000
Ni 0.000 0.000 0.500
Mo 0.500 0.500 0.255
Mo 0.500 0.500 0.745
```

Properties
**Energy of formation from the pure elements**: 0.3 eV per formula unit
**DOS(E_F)**: 0.92 states/eV/atom
**Energy relative to the lowest polymorph listed for this composition**: 24 meV/atom
**Space-group type**: Cmmm


No. 2
Entry from the Alexandria database: a relaxed ScMo2Ru crystal (PBE-GGA). Values from VASP.

Geometry as Quantum ESPRESSO input:
```
&SYSTEM
  ibrav = 0, nat = 4, ntyp = 3
/
ATOMIC_SPECIES
Sc 44.96 Sc.upf
Mo 95.94 Mo.upf
Ru 101.07 Ru.upf
CELL_PARAMETERS angstrom
3.140 0.000 0.000
0.000 4.359 0.000
0.000 0.000 4.714
ATOMIC_POSITIONS crystal
Sc 0.000 0.000 0.000
Mo 0.000 0.500 0.500
Mo 0.500 0.000 0.500
Ru 0.500 0.500 0.000
```

Properties
**Energy of formation from the pure elements**: -0.4 eV per formula unit
**DOS(E_F)**: 0.79 states/eV/atom
**Energy relative to the lowest polymorph listed for this composition**: 5 meV/atom
**Space-group type**: Pmmm


No. 3
Entry from the Alexandria database: a relaxed AcHo2PuSe4 crystal (PBE-GGA). Values from VASP.

Geometry as Quantum ESPRESSO input:
```
&SYSTEM
  ibrav = 0, nat = 8, ntyp = 4
/
ATOMIC_SPECIES
Ac 227.00 Ac.upf
Ho 164.93 Ho.upf
Pu 244.00 Pu.upf
Se 78.96 Se.upf
CELL_PARAMETERS angstrom
7.210 0.000 0.000
0.000 4.140 0.000
-2.378 0.000 6.960
ATOMIC_POSITIONS crystal
Ac 0.000 0.000 0.000
Ho 0.000 0.500 0.500
Ho 0.500 0.000 0.500
Pu 0.500 0.500 0.000
Se 0.253 0.000 0.734
Se 0.266 0.500 0.273
Se 0.734 0.500 0.727
Se 0.747 0.000 0.266
```

Properties
**DOS(E_F)**: 1.35 states/eV/atom
**ΔE_f (raw)**: -1.705 eV per atom
**Space-group type**: P2/m


No. 4
Entry from the Alexandria database: a relaxed HoIF crystal (PBE-GGA). Values from VASP.

Geometry as Quantum ESPRESSO input:
```
&SYSTEM
  ibrav = 0, nat = 3, ntyp = 3
/
ATOMIC_SPECIES
Ho 164.93 Ho.upf
I 126.90 I.upf
F 19.00 F.upf
CELL_PARAMETERS angstrom
3.947 0.000 0.000
-1.973 3.418 0.000
0.000 0.000 5.348
ATOMIC_POSITIONS crystal
Ho 0.000 0.000 0.000
I 0.333 0.667 0.583
F 0.667 0.333 0.082
```

Properties
**DOS(E_F)**: 0.39 states/eV/atom
**ΔE_f (raw)**: -2.065 eV per atom
**Space-group type**: P3m1


Question: Among the records above, which one has the highest DOS(E_F)?
Answer: AcHo2PuSe4